[1]
A plane-wave DFT calculation with GGA+U was carried out for an optimized crystal structure of Rb2CaV2O7.

```
Rb2CaV2O7
1.0
6.093 0.000 0.000
0.000 10.479 -0.039
0.000 6.757 13.738
O Rb Ca V
28 8 4 8
Cartesian
4.800 5.905 0.916
0.327 10.336 5.451
2.986 7.027 8.819
4.638 2.632 5.030
0.163 4.881 5.636
2.719 13.714 12.320
5.617 8.311 13.177
4.340 9.283 7.785
1.592 11.225 1.800
6.033 13.587 11.748
1.455 14.604 8.669
3.209 8.977 1.194
1.853 12.094 10.106
4.502 6.010 11.899
2.884 8.259 12.505
0.476 8.925 0.521
1.753 7.953 5.914
3.107 10.209 4.880
1.293 11.331 12.783
2.571 12.304 7.390
3.374 3.521 1.379
1.193 8.715 3.237
3.523 4.932 6.309
0.061 3.649 1.950
4.240 5.142 3.593
4.900 8.521 10.462
5.931 12.355 8.062
5.766 6.900 8.248
4.639 11.369 2.275
1.592 2.489 4.555
4.415 11.102 12.012
1.454 5.867 11.424
4.501 14.747 9.144
1.678 6.134 1.687
1.369 9.512 8.556
4.725 7.724 5.143
1.466 2.552 0.317
1.581 5.930 7.186
4.512 11.305 6.513
4.628 14.684 13.382
4.667 4.516 1.920
4.457 7.727 12.067
4.473 7.895 8.789
1.410 12.887 8.500
1.426 12.720 11.779
4.683 4.349 5.198
1.620 9.341 4.910
1.636 9.509 1.632
```

space-group type: No. 14
total DFT energy (no corrections): -6.697 eV per atom

***

[2]
A plane-wave DFT calculation with GGA+U was carried out for an optimized crystal structure of RbCaW2O8.

```
RbCaW2O8
1.0
-6.218 2.296 -0.053
1.747 -3.687 -5.224
0.508 -3.921 5.320
Rb O Ca W
1 8 1 2
Cartesian
0.000 0.000 0.000
-1.285 -4.508 0.913
-1.511 -2.964 3.426
-3.972 -1.207 -2.397
-1.159 -1.946 -1.857
-5.108 -0.065 0.421
-4.322 -2.718 0.454
-2.234 -0.646 1.272
-4.226 -1.213 3.109
0.009 -4.152 -1.271
-2.236 -0.696 -2.639
-3.973 -1.161 1.314
```

space-group type: No. 119
total DFT energy (no corrections): -6.695 eV per atom

***

[3]
A plane-wave DFT calculation with GGA+U was carried out for an optimized crystal structure of RbCaWO4.

```
RbCaWO4
1.0
6.309 0.000 0.176
0.000 6.402 0.000
-2.286 0.000 7.256
O Rb Ca W
8 2 2 2
Cartesian
1.931 1.601 6.524
-0.374 6.124 2.377
4.397 2.923 5.055
-0.374 3.479 2.377
2.028 1.601 3.422
2.092 4.802 0.908
1.996 4.802 4.011
4.397 0.278 5.055
2.415 4.802 7.048
1.608 1.601 0.385
4.323 4.802 3.777
-0.300 1.601 3.655
2.963 1.601 5.017
1.060 4.802 2.416
```

space-group type: No. 11
total DFT energy (no corrections): -6.431 eV per atom

***

[4]
A plane-wave DFT calculation with GGA+U was carried out for an optimized crystal structure of Rb3CaW2O9.

```
Rb3CaW2O9
1.0
-4.444 2.705 2.863
-0.772 -1.882 -5.579
-2.349 -6.535 2.529
O Rb Ca W
9 3 1 2
Cartesian
-3.383 -3.914 1.788
-4.182 -1.798 -1.975
-1.795 -2.174 -0.732
-5.769 -3.538 0.546
-2.608 0.412 -1.358
-5.416 -2.677 3.098
-0.386 -0.941 -2.789
-2.222 1.352 1.431
-2.149 -3.035 -3.285
0.000 0.000 0.000
-4.013 -1.031 0.903
-3.551 -4.680 -1.090
-1.174 -3.268 1.265
-5.180 -4.278 2.160
-2.385 -1.434 -2.346
```

space-group type: No. 164
total DFT energy (no corrections): -6.318 eV per atom

***

[5]
A plane-wave DFT calculation with GGA+U was carried out for an optimized crystal structure of Rb2Ca2WO6.

```
Rb2Ca2WO6
1.0
5.801 0.040 0.050
-2.832 5.063 0.050
-1.063 -1.827 6.533
Ca Rb O W
2 2 6 1
Cartesian
-0.464 2.463 3.317
2.370 0.814 3.317
-1.355 4.203 0.050
4.324 0.900 0.050
3.271 2.772 2.264
0.793 4.213 2.264
-1.365 0.505 4.370
1.602 2.753 4.440
0.304 0.523 2.194
1.113 -0.937 4.370
-0.531 -0.913 3.267
```

space-group type: No. 12
total DFT energy (no corrections): -6.252 eV per atom